Entry 1:
A plane-wave DFT calculation with SCAN was carried out for a crystal of MnBPbO4 relaxed with PBEsol.

Results
magnetic moment: 0.571 μB/atom
E_form (uncorrected): -2.11 eV per atom

Cell and atoms, written as POSCAR:
```
MnBPbO4
1.0
-0.5634 -5.1554 2.8915
1.4813 -3.2200 -5.4524
8.4725 0.2742 2.1398
Pb O B Mn
4 16 4 4
direct
0.2500 0.4848 0.8505 Pb
0.7500 0.0152 0.3505 Pb
0.2500 0.9848 0.6495 Pb
0.7500 0.5152 0.1495 Pb
0.4540 0.6656 0.3148 O
0.0460 0.6656 0.3148 O
0.7500 0.2266 0.9075 O
0.5460 0.3344 0.6852 O
0.5460 0.8344 0.8148 O
0.9540 0.8344 0.8148 O
0.2500 0.7734 0.0925 O
0.2500 0.2734 0.4075 O
0.4540 0.1656 0.1852 O
0.2500 0.6154 0.5979 O
0.7500 0.7266 0.5925 O
0.9540 0.3344 0.6852 O
0.2500 0.1154 0.9021 O
0.0460 0.1656 0.1852 O
0.7500 0.8846 0.0979 O
0.7500 0.3846 0.4021 O
0.7500 0.2967 0.7600 B
0.7500 0.7967 0.7400 B
0.2500 0.7033 0.2400 B
0.2500 0.2033 0.2600 B
0.5000 0.0000 0.0000 Mn
0.0000 0.5000 0.5000 Mn
0.0000 0.0000 0.0000 Mn
0.5000 0.5000 0.5000 Mn
```

***

Entry 2:
A plane-wave DFT calculation with SCAN was carried out for a crystal of Co24Au5 relaxed with PBEsol.

Results
formation enthalpy at 0 K: 0.099 eV/atom
magnetic moment: 1.506 μB/atom

Cell and atoms, written as POSCAR:
```
Co24Au5
1.0
7.5724 0.0000 0.0000
-2.5241 7.1394 0.0000
-2.5241 -3.5697 6.1829
Co Au
24 5
direct
0.6737 0.0000 0.3920 Co
0.1840 0.8056 0.8056 Co
0.3263 0.7183 0.3263 Co
0.0000 0.1944 0.3784 Co
0.6080 0.2817 0.6080 Co
0.7183 0.3263 0.3263 Co
0.8056 0.1840 0.8056 Co
0.6216 0.8160 0.6216 Co
0.3263 0.3263 0.7183 Co
0.1944 0.3784 0.0000 Co
0.8160 0.6216 0.6216 Co
0.0000 0.3784 0.1944 Co
0.0000 0.6737 0.3920 Co
0.8056 0.8056 0.1840 Co
0.2817 0.6080 0.6080 Co
0.6080 0.6080 0.2817 Co
0.3784 0.0000 0.1944 Co
0.6216 0.6216 0.8160 Co
0.1944 0.0000 0.3784 Co
0.3784 0.1944 0.0000 Co
0.3920 0.0000 0.6737 Co
0.6737 0.3920 0.0000 Co
0.3920 0.6737 0.0000 Co
0.0000 0.3920 0.6737 Co
0.0000 0.6309 0.0000 Au
0.0000 0.0000 0.0000 Au
0.6309 0.0000 0.0000 Au
0.3691 0.3691 0.3691 Au
0.0000 0.0000 0.6309 Au
```

***

Entry 3:
A plane-wave DFT calculation with SCAN was carried out for a crystal of TiVRu2 relaxed with PBEsol.

Results
formation enthalpy at 0 K: -0.615 eV/atom
magnetic moment: 0.000 μB/atom

Cell and atoms, written as POSCAR:
```
TiVRu2
1.0
-0.8351 -2.3384 3.4461
0.2699 -4.2346 -0.1904
3.1496 -2.0198 2.0103
Ru V Ti
2 1 1
direct
0.7500 0.7500 0.7500 Ru
0.2500 0.2500 0.2500 Ru
0.0000 0.0000 0.0000 V
0.5000 0.5000 0.5000 Ti
```

***

Entry 4:
A plane-wave DFT calculation with SCAN was carried out for a crystal of Li3CuF5 relaxed with PBEsol.

Results
magnetic moment: 0.111 μB/atom
E_form (uncorrected): -2.61 eV per atom

Cell and atoms, written as POSCAR:
```
Li3CuF5
1.0
-3.0877 -4.9884 -0.0346
6.0470 -0.2904 -0.3720
-1.3263 0.7760 6.4845
F Li Cu
10 6 2
direct
0.8308 0.0000 0.2500 F
0.0848 0.3494 0.6305 F
0.5405 0.7706 0.5415 F
0.2647 0.3494 0.1305 F
0.4595 0.2294 0.4585 F
0.2301 0.7706 0.0415 F
0.9152 0.6506 0.3695 F
0.7699 0.2294 0.9585 F
0.7353 0.6506 0.8695 F
0.1692 0.0000 0.7500 F
0.4880 0.0000 0.7500 Li
0.0533 0.5008 0.1739 Li
0.5120 0.0000 0.2500 Li
0.4474 0.5008 0.6739 Li
0.9467 0.4992 0.8261 Li
0.5526 0.4992 0.3261 Li
0.0000 0.0000 0.5000 Cu
0.0000 0.0000 0.0000 Cu
```

***

Entry 5:
A plane-wave DFT calculation with SCAN was carried out for a crystal of La2TcCl relaxed with PBEsol.

Results
magnetic moment: 0.000 μB/atom
E above lowest polymorph: 0.08 eV per formula unit
E_form (uncorrected): -0.89 eV per atom

Cell and atoms, written as POSCAR:
```
La2TcCl
1.0
3.4722 0.0475 0.0000
-0.7430 3.3921 0.0000
0.0000 0.0000 8.1176
Tc La Cl
1 2 1
direct
0.5000 0.5000 0.5000 Tc
0.0000 0.0000 0.2831 La
0.0000 0.0000 0.7169 La
0.5000 0.5000 0.0000 Cl
```

***

Entry 6:
A plane-wave DFT calculation with SCAN was carried out for a crystal of Cr2MoW relaxed with PBEsol.

Results
formation enthalpy at 0 K: 0.021 eV/atom
magnetic moment: 0.005 μB/atom

Cell and atoms, written as POSCAR:
```
Cr2MoW
1.0
4.2361 0.0000 0.0000
2.1181 3.6686 0.0000
2.1181 1.2229 3.4588
Cr Mo W
2 1 1
direct
0.0000 0.0000 0.0000 Cr
0.7500 0.7500 0.7500 Cr
0.5000 0.5000 0.5000 Mo
0.2500 0.2500 0.2500 W
```